(a)
This record from Alexandria describes a geometry-optimized NaTePbCl structure. The functional is GGA-PBE.

Cell lengths 4.4987, 4.4987, 16.7261 Å; angles 82.27, 82.27, 60.00 degrees
Sites, in units of the cell vectors:
Te (0.8970, 0.8970, 0.3089)
Te (0.1030, 0.1030, 0.6911)
Na (0.3599, 0.3599, 0.9202)
Na (0.6401, 0.6401, 0.0798)
Cl (0.3025, 0.3025, 0.0926)
Cl (0.6975, 0.6975, 0.9074)
Pb (0.1978, 0.1978, 0.4067)
Pb (0.8022, 0.8022, 0.5933)

* space group: R-3m, No. 166

(b)
This record from Alexandria describes a geometry-optimized NaTePbCl structure. The functional is GGA-PBE.

Cell lengths 5.4164, 5.4164, 5.4164 Å; angles 60.00, 60.00, 60.00 degrees
Sites, in units of the cell vectors:
Na (0.7500, 0.7500, 0.7500)
Te (0.5000, 0.5000, 0.5000)
Pb (0.2500, 0.2500, 0.2500)
Cl (0.0000, 0.0000, 0.0000)

* space group: F-43m, No. 216

Of them, the most stable is (a) and the least stable is (b).

(a)
This record from Alexandria describes a geometry-optimized Na2PdCl2 structure. The functional is GGA-PBE.

Cell lengths 5.2686, 5.2686, 5.9616 Å; angles 63.78, 63.78, 90.00 degrees
Sites, in units of the cell vectors:
Na (0.6892, 0.6892, 0.6216)
Na (0.3108, 0.3108, 0.3784)
Pd (0.0000, 0.0000, 0.0000)
Cl (0.7500, 0.2500, 0.5000)
Cl (0.2500, 0.7500, 0.5000)

* space group: I4/mmm, No. 139

(b)
This record from Alexandria describes a geometry-optimized Na2PdCl2 structure. The functional is GGA-PBE.

Cell lengths 7.7597, 7.7597, 3.4290 Å; angles 90.00, 90.00, 90.00 degrees
Sites, in units of the cell vectors:
Na (0.3575, 0.8575, 0.0000)
Na (0.1425, 0.3575, 0.0000)
Na (0.6425, 0.1425, 0.0000)
Na (0.8575, 0.6425, 0.0000)
Pd (0.0000, 0.0000, 0.0000)
Pd (0.5000, 0.5000, 0.0000)
Cl (0.6613, 0.8387, 0.5000)
Cl (0.8387, 0.3387, 0.5000)
Cl (0.1613, 0.6613, 0.5000)
Cl (0.3387, 0.1613, 0.5000)

* space group: P4/mbm, No. 127

Of them, the most stable is (b) and the least stable is (a).

(a)
This record from Alexandria describes a geometry-optimized NaPdCl6 structure. The functional is GGA-PBE.

Cell lengths 7.4144, 8.5374, 6.1267 Å; angles 45.83, 66.80, 55.57 degrees
Last column: magnetic moment on the atom in μB.
Sites, in units of the cell vectors:
Na (0.0000, 0.0000, 0.0000)  0.00
Cl (0.7637, 0.5065, 0.6238)  0.09
Cl (0.2363, 0.8696, 0.6238)  0.09
Cl (0.5925, 0.7188, 0.0000)  0.21
Cl (0.7637, 0.1304, 0.3762)  0.09
Cl (0.4075, 0.2812, 0.0000)  0.21
Cl (0.2363, 0.4935, 0.3762)  0.09
Pd (0.5000, 0.5000, 0.0000)  0.07

* space group: C2/m, No. 12

(b)
This record from Alexandria describes a geometry-optimized NaPdCl6 structure. The functional is GGA-PBE.

Cell lengths 7.5685, 7.5685, 8.3409 Å; angles 82.53, 82.53, 95.40 degrees
Last column: magnetic moment on the atom in μB.
Sites, in units of the cell vectors:
Cl (0.5145, 0.0952, 0.2556)  0.05
Cl (0.9048, 0.4855, 0.2444)  0.05
Cl (0.4855, 0.9048, 0.7444)  0.05
Cl (0.9256, 0.7957, 0.4961)  0.00
Cl (0.6996, 0.3925, 0.5956)  0.31
Cl (0.3004, 0.6075, 0.4044)  0.31
Cl (0.3925, 0.6996, 0.0956)  0.31
Cl (0.0952, 0.5145, 0.7556)  0.05
Cl (0.0744, 0.2043, 0.5039)  0.00
Cl (0.6075, 0.3004, 0.9044)  0.31
Cl (0.2043, 0.0744, 0.0039)  0.00
Cl (0.7957, 0.9256, 0.9961)  0.00
Na (0.8967, 0.1033, 0.2500)  0.00
Na (0.1033, 0.8967, 0.7500)  0.00
Pd (0.0000, 0.5000, 0.5000)  0.05
Pd (0.5000, 0.0000, 0.0000)  0.05

* space group: C2/c, No. 15

Of them, the most stable is (b) and the least stable is (a).

(a)
This record from Alexandria describes a geometry-optimized Na2Pd2Cl7 structure. The functional is GGA-PBE.

Cell lengths 7.3354, 7.0246, 7.0246 Å; angles 111.95, 91.28, 91.28 degrees
Last column: magnetic moment on the atom in μB.
Sites, in units of the cell vectors:
Na (0.5000, 0.3069, 0.6931)  0.00
Na (0.5000, 0.6931, 0.3069)  0.00
Cl (0.0000, 0.0000, 0.0000)  0.02
Cl (0.3170, 0.9387, 0.6307)  0.16
Cl (0.6830, 0.0613, 0.3693)  0.16
Cl (0.2058, 0.4242, 0.4242)  0.15
Cl (0.7942, 0.5758, 0.5758)  0.15
Cl (0.3170, 0.6307, 0.9387)  0.16
Cl (0.6830, 0.3693, 0.0613)  0.16
Pd (0.8888, 0.2830, 0.2830)  0.81
Pd (0.1112, 0.7170, 0.7170)  0.81

* space group: C2/m, No. 12

(b)
This record from Alexandria describes a geometry-optimized Na2Pd2Cl7 structure. The functional is GGA-PBE.

Cell lengths 6.5641, 6.5156, 13.6308 Å; angles 90.00, 90.00, 82.17 degrees
Last column: magnetic moment on the atom in μB.
Sites, in units of the cell vectors:
Cl (0.5871, 0.8504, 0.9150)  0.01
Cl (0.4129, 0.1496, 0.0850)  0.01
Cl (0.0000, 0.0000, 0.5000)  0.20
Cl (0.0260, 0.8926, 0.7821)  0.01
Cl (0.5871, 0.3504, 0.5850)  0.01
Cl (0.0260, 0.3926, 0.7179)  0.01
Cl (0.3853, 0.1349, 0.3461)  0.06
Cl (0.3853, 0.6349, 0.1539)  0.06
Cl (0.9740, 0.6074, 0.2821)  0.01
Cl (0.6147, 0.8651, 0.6539)  0.06
Cl (0.4129, 0.6496, 0.4150)  0.01
Cl (0.0000, 0.5000, 0.0000)  0.20
Cl (0.9740, 0.1074, 0.2179)  0.01
Cl (0.6147, 0.3651, 0.8461)  0.06
Pd (0.1866, 0.3730, 0.1778)  0.28
Pd (0.8134, 0.6270, 0.8222)  0.28
Pd (0.1866, 0.8730, 0.3222)  0.28
Pd (0.8134, 0.1270, 0.6778)  0.28
Na (0.2549, 0.7081, 0.6013)  0.00
Na (0.7451, 0.7919, 0.1013)  0.00
Na (0.7451, 0.2919, 0.3987)  0.00
Na (0.2549, 0.2081, 0.8987)  0.00

* space group: P2_1/c, No. 14

Of them, the most stable is (b) and the least stable is (a).

(a)
This record from Alexandria describes a geometry-optimized Na2PdCl4 structure. The functional is GGA-PBE.

Cell lengths 9.6742, 9.6742, 7.6677 Å; angles 90.00, 90.00, 90.00 degrees
Sites, in units of the cell vectors:
Cl (0.0544, 0.7353, 0.5688)
Cl (0.5544, 0.7647, 0.9312)
Cl (0.2647, 0.9456, 0.9312)
Cl (0.7647, 0.4456, 0.0688)
Cl (0.7353, 0.0544, 0.9312)
Cl (0.7353, 0.9456, 0.4312)
Cl (0.4456, 0.7647, 0.4312)
Cl (0.9456, 0.7353, 0.0688)
Cl (0.0544, 0.2647, 0.0688)
Cl (0.4456, 0.2353, 0.9312)
Cl (0.2647, 0.0544, 0.4312)
Cl (0.2353, 0.4456, 0.5688)
Cl (0.5544, 0.2353, 0.4312)
Cl (0.7647, 0.5544, 0.5688)
Cl (0.9456, 0.2647, 0.5688)
Cl (0.2353, 0.5544, 0.0688)
Na (0.3056, 0.6944, 0.7500)
Na (0.6944, 0.3056, 0.7500)
Na (0.1944, 0.8056, 0.2500)
Na (0.3056, 0.3056, 0.2500)
Na (0.8056, 0.1944, 0.2500)
Na (0.1944, 0.1944, 0.7500)
Na (0.6944, 0.6944, 0.2500)
Na (0.8056, 0.8056, 0.7500)
Pd (0.0000, 0.5000, 0.0648)
Pd (0.5000, 0.0000, 0.4352)
Pd (0.5000, 0.0000, 0.9352)
Pd (0.0000, 0.5000, 0.5648)

* space group: P4/ncc, No. 130

(b)
This record from Alexandria describes a geometry-optimized Na2PdCl4 structure. The functional is GGA-PBE.

Cell lengths 4.9733, 4.9733, 7.8264 Å; angles 71.47, 71.47, 90.00 degrees
Sites, in units of the cell vectors:
Pd (0.0000, 0.0000, 0.0000)
Cl (0.1730, 0.1730, 0.6541)
Cl (0.5000, 0.0000, 0.0000)
Cl (0.8270, 0.8270, 0.3459)
Cl (0.0000, 0.5000, 0.0000)
Na (0.3673, 0.3673, 0.2653)
Na (0.6327, 0.6327, 0.7347)

* space group: I4/mmm, No. 139

(c)
This record from Alexandria describes a geometry-optimized Na2PdCl4 structure. The functional is GGA-PBE.

Cell lengths 6.8206, 6.8206, 6.1066 Å; angles 123.95, 123.95, 90.00 degrees
Sites, in units of the cell vectors:
Cl (0.2603, 0.7411, 0.0013)
Cl (0.2589, 0.2589, 0.9987)
Cl (0.7397, 0.7397, 0.9987)
Cl (0.7411, 0.2603, 0.0013)
Na (0.7500, 0.2500, 0.5000)
Na (0.2500, 0.7500, 0.5000)
Pd (0.5000, 0.5000, 0.0000)

* space group: I-42m, No. 121

Of them, the most stable is (a) and the least stable is (b).

(a)
This record from Alexandria describes a geometry-optimized NaPd3Cl structure. The functional is GGA-PBE.

Cell lengths 4.8187, 4.8187, 4.8187 Å; angles 90.00, 90.00, 90.00 degrees
Sites, in units of the cell vectors:
Pd (0.0000, 0.0000, 0.5000)
Pd (0.0000, 0.5000, 0.0000)
Pd (0.5000, 0.0000, 0.0000)
Cl (0.5000, 0.5000, 0.5000)
Na (0.0000, 0.0000, 0.0000)

* space group: Pm-3m, No. 221

(b)
This record from Alexandria describes a geometry-optimized NaPd3Cl structure. The functional is GGA-PBE.

Cell lengths 4.6355, 4.6355, 4.6355 Å; angles 90.00, 90.00, 90.00 degrees
Sites, in units of the cell vectors:
Cl (0.0000, 0.0000, 0.0000)
Na (0.5000, 0.5000, 0.5000)
Pd (0.5000, 0.0000, 0.0000)
Pd (0.0000, 0.0000, 0.5000)
Pd (0.0000, 0.5000, 0.0000)

* space group: Pm-3m, No. 221

Of them, the most stable is (b) and the least stable is (a).

(a)
This record from Alexandria describes a geometry-optimized NaPdCl2 structure. The functional is GGA-PBE.

Cell lengths 7.8047, 7.8047, 7.8047 Å; angles 31.12, 31.12, 31.12 degrees
Last column: magnetic moment on the atom in μB.
Sites, in units of the cell vectors:
Na (0.0000, 0.0000, 0.0000)  0.00
Pd (0.5000, 0.5000, 0.5000)  0.74
Cl (0.8877, 0.8877, 0.8877)  0.10
Cl (0.1123, 0.1123, 0.1123)  0.10

* space group: R-3m, No. 166

(b)
This record from Alexandria describes a geometry-optimized NaPdCl2 structure. The functional is GGA-PBE.

Cell lengths 5.5693, 5.5693, 7.8904 Å; angles 69.33, 69.33, 90.00 degrees
Last column: magnetic moment on the atom in μB.
Sites, in units of the cell vectors:
Cl (0.8750, 0.9120, 0.7500)  0.10
Cl (0.0880, 0.6250, 0.2500)  0.10
Cl (0.6620, 0.1250, 0.2500)  0.09
Cl (0.3750, 0.3380, 0.7500)  0.08
Na (0.2500, 0.7500, 0.5000)  0.00
Na (0.5000, 0.5000, 0.0000)  0.00
Pd (0.7500, 0.2500, 0.5000)  0.71
Pd (0.0000, 0.0000, 0.0000)  0.72

* space group: I-42d, No. 122

(c)
This record from Alexandria describes a geometry-optimized NaPdCl2 structure. The functional is GGA-PBE.

Cell lengths 8.1001, 8.1001, 8.1001 Å; angles 27.52, 27.52, 27.52 degrees
Sites, in units of the cell vectors:
Cl (0.0985, 0.0985, 0.0985)
Cl (0.9015, 0.9015, 0.9015)
Pd (0.0000, 0.0000, 0.0000)
Na (0.5000, 0.5000, 0.5000)

* space group: R-3m, No. 166

(d)
This record from Alexandria describes a geometry-optimized NaPdCl2 structure. The functional is GGA-PBE.

Cell lengths 4.7829, 4.7829, 4.7829 Å; angles 60.00, 60.00, 60.00 degrees
Last column: magnetic moment on the atom in μB.
Sites, in units of the cell vectors:
Na (0.0000, 0.0000, 0.0000)  0.00
Cl (0.7500, 0.7500, 0.7500)  0.10
Cl (0.2500, 0.2500, 0.2500)  0.10
Pd (0.5000, 0.5000, 0.5000)  0.74

* space group: Fm-3m, No. 225

Of them, the most stable is (c) and the least stable is (a).

(a)
This record from Alexandria describes a geometry-optimized NaPdCl3 structure. The functional is GGA-PBE.

Cell lengths 8.4302, 8.7463, 8.7463 Å; angles 55.65, 73.47, 73.47 degrees
Sites, in units of the cell vectors:
Cl (0.6300, 0.7517, 0.0653)
Cl (0.6204, 0.8265, 0.6562)
Cl (0.3700, 0.2483, 0.9347)
Cl (0.3643, 0.7526, 0.4285)
Cl (0.8643, 0.4285, 0.7526)
Cl (0.8796, 0.3438, 0.1735)
Cl (0.1357, 0.5715, 0.2474)
Cl (0.8700, 0.9347, 0.2483)
Cl (0.1300, 0.0653, 0.7517)
Cl (0.1204, 0.6562, 0.8265)
Cl (0.6357, 0.2474, 0.5715)
Cl (0.3796, 0.1735, 0.3438)
Na (0.7500, 0.0908, 0.9092)
Na (0.7500, 0.5952, 0.4048)
Na (0.2500, 0.9092, 0.0908)
Na (0.2500, 0.4048, 0.5952)
Pd (0.7503, 0.0881, 0.4127)
Pd (0.2503, 0.4127, 0.0881)
Pd (0.7497, 0.5873, 0.9119)
Pd (0.2497, 0.9119, 0.5873)

* space group: C2/c, No. 15

(b)
This record from Alexandria describes a geometry-optimized NaPdCl3 structure. The functional is GGA-PBE.

Cell lengths 4.9214, 4.9214, 4.9214 Å; angles 90.00, 90.00, 90.00 degrees
Sites, in units of the cell vectors:
Pd (0.0000, 0.0000, 0.0000)
Na (0.5000, 0.5000, 0.5000)
Cl (0.5000, 0.0000, 0.0000)
Cl (0.0000, 0.0000, 0.5000)
Cl (0.0000, 0.5000, 0.0000)

* space group: Pm-3m, No. 221

Of them, the most stable is (a) and the least stable is (b).

(a)
This record from Alexandria describes a geometry-optimized NaPdCl3 structure. The functional is GGA-PBE.

Cell lengths 5.0681, 5.0681, 5.0681 Å; angles 90.00, 90.00, 90.00 degrees
Last column: magnetic moment on the atom in μB.
Sites, in units of the cell vectors:
Na (0.0000, 0.0000, 0.0000)  0.00
Cl (0.5000, 0.0000, 0.0000)  0.25
Cl (0.0000, 0.5000, 0.0000)  0.37
Cl (0.0000, 0.0000, 0.5000)  0.23
Pd (0.5000, 0.5000, 0.5000)  0.91

* space group: Pm-3m, No. 221

(b)
This record from Alexandria describes a geometry-optimized NaPdCl3 structure. The functional is GGA-PBE.

Cell lengths 4.3800, 8.5319, 8.5329 Å; angles 73.36, 66.69, 66.69 degrees
Sites, in units of the cell vectors:
Cl (0.2507, 0.9047, 0.9963)
Cl (0.2647, 0.3131, 0.0993)
Cl (0.2639, 0.2248, 0.6637)
Cl (0.2514, 0.9930, 0.4320)
Cl (0.2506, 0.5575, 0.3436)
Cl (0.2647, 0.6603, 0.7521)
Pd (0.2576, 0.2777, 0.3790)
Pd (0.2577, 0.9401, 0.7166)
Na (0.7430, 0.7486, 0.1875)
Na (0.7724, 0.4691, 0.9081)

* space group: C2/m, No. 12

Of them, the most stable is (b) and the least stable is (a).

(a)
This record from Alexandria describes a geometry-optimized NaPdCl5 structure. The functional is GGA-PBE.

Cell lengths 7.3985, 7.3985, 9.8211 Å; angles 105.14, 105.14, 121.30 degrees
Sites, in units of the cell vectors:
Cl (0.2965, 0.1480, 0.5244)
Cl (0.3520, 0.2035, 0.9756)
Cl (0.6480, 0.7965, 0.0244)
Cl (0.3008, 0.6152, 0.6004)
Cl (0.1152, 0.8008, 0.1004)
Cl (0.1693, 0.3307, 0.2500)
Cl (0.8848, 0.1992, 0.8996)
Cl (0.8307, 0.6693, 0.7500)
Cl (0.7035, 0.8520, 0.4756)
Cl (0.6992, 0.3848, 0.3996)
Pd (0.0000, 0.0000, 0.0000)
Pd (0.5000, 0.5000, 0.5000)
Na (0.8201, 0.6799, 0.2500)
Na (0.1799, 0.3201, 0.7500)

* space group: C2/c, No. 15

(b)
This record from Alexandria describes a geometry-optimized NaPdCl5 structure. The functional is GGA-PBE.

Cell lengths 7.5475, 7.5475, 9.0232 Å; angles 72.29, 72.29, 53.75 degrees
Sites, in units of the cell vectors:
Cl (0.1247, 0.8753, 0.7500)
Cl (0.1153, 0.6297, 0.1079)
Cl (0.8753, 0.1247, 0.2500)
Cl (0.8847, 0.3703, 0.8921)
Cl (0.8967, 0.3660, 0.4781)
Cl (0.6340, 0.1033, 0.0219)
Cl (0.1033, 0.6340, 0.5219)
Cl (0.3703, 0.8847, 0.3921)
Cl (0.6297, 0.1153, 0.6079)
Cl (0.3660, 0.8967, 0.9781)
Na (0.4438, 0.5562, 0.2500)
Na (0.5562, 0.4438, 0.7500)
Pd (0.0000, 0.0000, 0.5000)
Pd (0.0000, 0.0000, 0.0000)

* space group: C2/c, No. 15

Of them, the most stable is (a) and the least stable is (b).